(1)
The following is a PBE-GGA calculation of an optimized crystal structure of RePbSeS2, from Alexandria via LeMat-Bulk.

Electronic total energy: -5.57 eV per atom
Energy relative to the elements, uncorrected: 5.9 meV per atom

a b c (Å): 4.5400 4.5400 5.5797
angles (deg): 90.00 90.00 90.00
Positions (direct):
Re: 0.0000 0.0000 0.0000
Pb: 0.5000 0.5000 0.5000
Se: 0.0000 0.0000 0.5000
S: 0.0000 0.5000 0.0000
S: 0.5000 0.0000 0.0000


(2)
The following is a PBE-GGA calculation of an optimized crystal structure of CeEuGe, from Alexandria via LeMat-Bulk.

Polymorph energy (0 for the lowest one): 0.000 eV/atom
ΔE_f: -1.2 eV per formula unit
Electronic total energy: -7.33 eV per atom

a b c (Å): 7.2114 7.2114 7.2114
angles (deg): 90.00 90.00 90.00
Positions (direct):
Ce: 0.0000 0.0000 0.0000
Ce: 0.0000 0.5000 0.5000
Ce: 0.5000 0.0000 0.5000
Ce: 0.5000 0.5000 0.0000
Eu: 0.0000 0.0000 0.5000
Eu: 0.0000 0.5000 0.0000
Eu: 0.5000 0.0000 0.0000
Eu: 0.5000 0.5000 0.5000
Ge: 0.2500 0.2500 0.7500
Ge: 0.2500 0.7500 0.2500
Ge: 0.7500 0.2500 0.2500
Ge: 0.7500 0.7500 0.7500


(3)
The following is a PBE-GGA calculation of an optimized crystal structure of Sr2HgRh2, from Alexandria via LeMat-Bulk.

ΔE_f: -1.6 eV per formula unit
Electronic total energy: -3.99 eV per atom

a b c (Å): 5.9159 5.9159 8.4471
angles (deg): 102.20 102.20 59.63
Positions (direct):
Sr: 0.0010 0.7049 0.8534
Sr: 0.2951 0.9990 0.6466
Sr: 0.7049 0.0010 0.3534
Sr: 0.9990 0.2951 0.1466
Hg: 0.3634 0.6366 0.2500
Hg: 0.6366 0.3634 0.7500
Rh: 0.2114 0.5088 0.4927
Rh: 0.4912 0.7886 0.0073
Rh: 0.5088 0.2114 0.9927
Rh: 0.7886 0.4912 0.5073


(4)
The following is a PBE-GGA calculation of an optimized crystal structure of Ir2RhCN, from Alexandria via LeMat-Bulk.

Electronic total energy: -6.90 eV per atom
Energy relative to the elements, uncorrected: 1629.1 meV per atom

a b c (Å): 3.9656 3.9656 3.9958
angles (deg): 90.00 90.00 90.00
Positions (direct):
Ir: 0.0000 0.5000 0.0000
Ir: 0.5000 0.0000 0.0000
Rh: 0.0000 0.0000 0.5000
C: 0.5000 0.5000 0.5000
N: 0.5000 0.5000 0.0000


(5)
The following is a PBE-GGA calculation of an optimized crystal structure of CsSc2Be, from Alexandria via LeMat-Bulk.

Polymorph energy (0 for the lowest one): 0.000 eV/atom
ΔE_f: 2.2 eV per formula unit
Electronic total energy: -3.77 eV per atom

a b c (Å): 3.4736 3.4736 31.7216
angles (deg): 90.00 90.00 120.00
Positions (direct):
Cs: 0.0000 0.0000 0.0000
Cs: 0.3333 0.6667 0.6667
Cs: 0.6667 0.3333 0.3333
Sc: 0.0000 0.0000 0.1127
Sc: 0.0000 0.0000 0.8873
Sc: 0.3333 0.6667 0.5539
Sc: 0.3333 0.6667 0.7794
Sc: 0.6667 0.3333 0.2206
Sc: 0.6667 0.3333 0.4461
Be: 0.0000 0.0000 0.5000
Be: 0.3333 0.6667 0.1667
Be: 0.6667 0.3333 0.8333


(6)
The following is a PBE-GGA calculation of an optimized crystal structure of TcHgSe2Br, from Alexandria via LeMat-Bulk.

Polymorph energy (0 for the lowest one): 0.000 eV/atom
Electronic total energy: -3.70 eV per atom
Energy relative to the elements, uncorrected: 161.7 meV per atom

a b c (Å): 4.8352 4.8352 5.4448
angles (deg): 90.00 90.00 90.00
Positions (direct):
Tc: 0.0000 0.0000 0.0000
Hg: 0.5000 0.5000 0.5000
Se: 0.0000 0.5000 0.0000
Se: 0.5000 0.0000 0.0000
Br: 0.0000 0.0000 0.5000


(7)
The following is a PBE-GGA calculation of an optimized crystal structure of AcPuSbN2, from Alexandria via LeMat-Bulk.

Electronic total energy: -8.84 eV per atom
Energy relative to the elements, uncorrected: -994.4 meV per atom

a b c (Å): 7.5570 7.5570 5.6487
angles (deg): 90.00 90.00 134.99
Positions (direct):
Ac: 0.1000 0.9000 0.7500
Ac: 0.9000 0.1000 0.2500
Pu: 0.4301 0.5699 0.7500
Pu: 0.5699 0.4301 0.2500
Sb: 0.2487 0.7513 0.2500
Sb: 0.7513 0.2487 0.7500
N: 0.2774 0.2774 0.0000
N: 0.2774 0.2774 0.5000
N: 0.7226 0.7226 0.0000
N: 0.7226 0.7226 0.5000


(8)
The following is a PBE-GGA calculation of an optimized crystal structure of Pr2Mg3Al2, from Alexandria via LeMat-Bulk.

ΔE_f: -1.5 eV per formula unit
Electronic total energy: -3.33 eV per atom

a b c (Å): 4.5963 22.0450 3.5549
angles (deg): 90.00 90.00 90.00
Positions (direct):
Pr: 0.0000 0.1610 0.0000
Pr: 0.0000 0.8390 0.0000
Pr: 0.5000 0.3390 0.0000
Pr: 0.5000 0.6610 0.0000
Mg: 0.0000 0.0000 0.0000
Mg: 0.0000 0.4284 0.5000
Mg: 0.0000 0.5716 0.5000
Mg: 0.5000 0.0716 0.5000
Mg: 0.5000 0.5000 0.0000
Mg: 0.5000 0.9284 0.5000
Al: 0.0000 0.2825 0.5000
Al: 0.0000 0.7175 0.5000
Al: 0.5000 0.2175 0.5000
Al: 0.5000 0.7825 0.5000


(9)
The following is a PBE-GGA calculation of an optimized crystal structure of TbInSi2Pt5, from Alexandria via LeMat-Bulk.

Electronic total energy: -6.11 eV per atom
Energy relative to the elements, uncorrected: -731.6 meV per atom

a b c (Å): 3.9773 3.9773 11.6597
angles (deg): 90.00 90.00 90.00
Positions (direct):
Tb: 0.0000 0.0000 0.0000
In: 0.0000 0.0000 0.5000
Si: 0.5000 0.5000 0.2975
Si: 0.5000 0.5000 0.7025
Pt: 0.0000 0.5000 0.1857
Pt: 0.0000 0.5000 0.8143
Pt: 0.5000 0.0000 0.1857
Pt: 0.5000 0.0000 0.8143
Pt: 0.5000 0.5000 0.5000


(10)
The following is a PBE-GGA calculation of an optimized crystal structure of Co4As3, from Alexandria via LeMat-Bulk.

Polymorph energy (0 for the lowest one): 0.000 eV/atom
ΔE_f: 0.3 eV per formula unit
Electronic total energy: -6.01 eV per atom

a b c (Å): 2.9181 2.9181 23.1462
angles (deg): 90.00 90.00 90.00
Positions (direct):
Co: 0.0000 0.0000 0.0581
Co: 0.0000 0.0000 0.3741
Co: 0.0000 0.0000 0.6259
Co: 0.0000 0.0000 0.9419
Co: 0.5000 0.5000 0.1259
Co: 0.5000 0.5000 0.4419
Co: 0.5000 0.5000 0.5581
Co: 0.5000 0.5000 0.8741
As: 0.0000 0.0000 0.1820
As: 0.0000 0.0000 0.5000
As: 0.0000 0.0000 0.8180
As: 0.5000 0.5000 0.0000
As: 0.5000 0.5000 0.3180
As: 0.5000 0.5000 0.6820


(11)
The following is a PBE-GGA calculation of an optimized crystal structure of LiLa2TeRu, from Alexandria via LeMat-Bulk.

Electronic total energy: -5.40 eV per atom
Energy relative to the elements, uncorrected: -564.4 meV per atom

a b c (Å): 5.3368 5.3368 4.8695
angles (deg): 90.00 90.00 90.00
Positions (direct):
Li: 0.0000 0.0000 0.0000
La: 0.0000 0.5000 0.5000
La: 0.5000 0.0000 0.5000
Te: 0.5000 0.5000 0.0000
Ru: 0.0000 0.0000 0.5000


(12)
The following is a PBE-GGA calculation of an optimized crystal structure of La2SmGe, from Alexandria via LeMat-Bulk.

Polymorph energy (0 for the lowest one): 0.235 eV/atom
ΔE_f: -0.9 eV per formula unit
Electronic total energy: -5.02 eV per atom

a b c (Å): 4.1398 4.1398 28.2735
angles (deg): 90.00 90.00 120.00
Positions (direct):
La: 0.0000 0.0000 0.0000
La: 0.0000 0.0000 0.2058
La: 0.3333 0.6667 0.6667
La: 0.3333 0.6667 0.8725
La: 0.6667 0.3333 0.3333
La: 0.6667 0.3333 0.5391
Sm: 0.0000 0.0000 0.4369
Sm: 0.3333 0.6667 0.1035
Sm: 0.6667 0.3333 0.7702
Ge: 0.0000 0.0000 0.6024
Ge: 0.3333 0.6667 0.2690
Ge: 0.6667 0.3333 0.9357


One value per record, in order, for calculated density: 7.75 6.46 7.81 13.57 3.48 7.00 9.04 3.77 11.75 7.76 6.15 5.95 g/cm³.